Here is TbSm4Dy10 after structural relaxation from Alexandria. Energies are from PBE.

a = 7.7132 Å, b = 9.4452 Å, c = 9.4452 Å
α = 80.40°, β = 65.90°, γ = 65.90°
Closest atoms and distances in Å follow each position.
Atoms (fractional coordinates):
Dy 0.0496 0.1002 0.2986  1 Tb 3.33, 3 Sm 3.34
Dy 0.9504 0.8998 0.7014  1 Tb 3.33, 3 Sm 3.34
Dy 0.5516 0.1002 0.2986  1 Tb 3.33, 3 Sm 3.34
Dy 0.8502 0.7014 0.1002  1 Tb 3.33, 3 Sm 3.34
Dy 0.3482 0.7014 0.1002  1 Tb 3.33, 3 Sm 3.34
Dy 0.6518 0.2986 0.8998  1 Tb 3.33, 3 Sm 3.34
Dy 0.1498 0.2986 0.8998  1 Tb 3.33, 3 Sm 3.34
Dy 0.7500 0.5000 0.5000  4 Sm 3.35
Dy 0.4484 0.8998 0.7014  1 Tb 3.33, 3 Sm 3.34
Dy 0.2500 0.5000 0.5000  4 Sm 3.35
Sm 0.3994 0.8013 0.3999  8 Dy 3.34-3.35
Sm 0.2007 0.3999 0.1987  8 Dy 3.34-3.35
Sm 0.7993 0.6001 0.8013  8 Dy 3.34-3.35
Sm 0.6006 0.1987 0.6001  8 Dy 3.34-3.35
Tb 0.0000 0.0000 0.0000  8 Dy 3.33

Summary:
Spin magnetization ... 0.00 μB/f.u.
Formation energy ... 746 meV/atom
DOS(E_F) ... 1.3831 states/eV/atom

Here is Cs4TeH12 after structural relaxation from Alexandria. Energies are from PBE.

a = 8.3652 Å, b = 8.3652 Å, c = 8.3652 Å
α = 109.47°, β = 109.47°, γ = 109.47°
Closest atoms and distances in Å follow each position.
Atoms (fractional coordinates):
H 0.3329 0.8730 0.4600  1 H 0.77
H 0.8730 0.5400 0.4130  1 H 0.77
H 0.6671 0.1270 0.5400  1 H 0.77
H 0.4600 0.3329 0.8730  1 H 0.77
H 0.4600 0.5870 0.1270  1 H 0.77
H 0.5400 0.4130 0.8730  1 H 0.77
H 0.1270 0.5400 0.6671  1 H 0.77
H 0.8730 0.4600 0.3329  1 H 0.77
H 0.1270 0.4600 0.5870  1 H 0.77
H 0.5870 0.1270 0.4600  1 H 0.77
H 0.5400 0.6671 0.1270  1 H 0.77
H 0.4130 0.8730 0.5400  1 H 0.77
Cs 0.0000 0.0000 0.5000  6 H 3.37
Cs 0.5000 0.0000 0.0000  6 H 3.37
Cs 0.5000 0.5000 0.5000  6 H 3.37
Cs 0.0000 0.5000 0.0000  6 H 3.37
Te 0.0000 0.0000 0.0000  8 Cs 4.18, 12 H 4.61

Summary:
Spin magnetization ... 0.00 μB/f.u.
DOS(E_F) ... 0.3014 states/eV/atom
Calculated total energy ... -2.85 eV/atom

Here is Tc3P after structural relaxation from Alexandria. Energies are from PBE.

a = 5.0693 Å, b = 5.0693 Å, c = 5.0693 Å
α = 146.74°, β = 129.30°, γ = 61.99°
Closest atoms and distances in Å follow each position.
Atoms (fractional coordinates):
P 0.0000 0.0000 0.0000  8 Tc 2.39-2.61
Tc 0.7814 0.2814 0.5000  2 P 2.39, 4 Tc 2.67
Tc 0.2186 0.7186 0.5000  2 P 2.39, 4 Tc 2.67
Tc 0.5000 0.5000 0.0000  4 P 2.61, 10 Tc 2.84-2.90

Summary:
Spin magnetization ... 0.00 μB/f.u.
Formation energy ... -266 meV/atom
DOS(E_F) ... 0.6637 states/eV/atom

Here is AcSn6 after structural relaxation from Alexandria. Energies are from PBE.

a = 7.0021 Å, b = 7.0021 Å, c = 7.0021 Å
α = 109.47°, β = 109.47°, γ = 109.47°
Closest atoms and distances in Å follow each position.
Atoms (fractional coordinates):
Sn 0.2500 0.5000 0.7500  4 Sn 2.86
Sn 0.7500 0.2500 0.5000  4 Sn 2.86
Sn 0.7500 0.5000 0.2500  4 Sn 2.86
Sn 0.5000 0.7500 0.2500  4 Sn 2.86
Sn 0.5000 0.2500 0.7500  4 Sn 2.86
Sn 0.2500 0.7500 0.5000  4 Sn 2.86
Ac 0.0000 0.0000 0.0000  24 Sn 4.52

Summary:
Spin magnetization ... 0.00 μB/f.u.
Formation energy ... 193 meV/atom
DOS(E_F) ... 0.8329 states/eV/atom

Here is Y4PdRh after structural relaxation from Alexandria. Energies are from PBE.

a = 6.8907 Å, b = 6.8862 Å, c = 8.3521 Å
α = 112.00°, β = 112.02°, γ = 95.24°
Closest atoms and distances in Å follow each position.
Atoms (fractional coordinates):
Y 0.0384 0.7539 0.9987  1 Rh 2.75, 2 Pd 2.95-3.06
Y 0.7565 0.0385 0.5030  1 Rh 2.75, 2 Pd 2.94-3.08
Y 0.2465 0.4644 0.5030  1 Rh 2.75, 2 Pd 2.94-3.08
Y 0.9616 0.2461 0.0013  1 Rh 2.75, 2 Pd 2.95-3.06
Y 0.5397 0.7552 0.0013  1 Rh 2.75, 2 Pd 2.95-3.06
Y 0.7535 0.5356 0.4970  1 Rh 2.75, 2 Pd 2.94-3.08
Y 0.2435 0.9615 0.4970  1 Rh 2.75, 2 Pd 2.94-3.08
Y 0.4603 0.2448 0.9987  1 Rh 2.75, 2 Pd 2.95-3.06
Rh 0.1241 0.8741 0.7482  4 Y 2.75
Rh 0.8759 0.1259 0.2518  4 Y 2.75
Pd 0.6253 0.3753 0.7506  8 Y 2.94-3.08
Pd 0.3747 0.6247 0.2494  8 Y 2.94-3.08

Summary:
Spin magnetization ... 0.00 μB/f.u.
Formation energy ... -520 meV/atom
DOS(E_F) ... 1.0288 states/eV/atom

Here is TbNdEr4Se8 after structural relaxation from Alexandria. Energies are from PBE.

a = 8.4110 Å, b = 8.4110 Å, c = 8.4349 Å
α = 60.09°, β = 60.09°, γ = 60.00°
Closest atoms and distances in Å follow each position.
Atoms (fractional coordinates):
Se 0.7545 0.7545 0.2604  3 Er 2.71-2.88, 1 Tb 2.92
Se 0.7574 0.7574 0.7278  4 Er 2.73-2.88
Se 0.7828 0.2412 0.7348  1 Nd 2.81, 2 Er 2.85, 1 Tb 2.89
Se 0.2412 0.2412 0.7348  1 Nd 2.81, 2 Er 2.85, 1 Tb 2.89
Se 0.2412 0.7828 0.7348  1 Nd 2.81, 2 Er 2.85, 1 Tb 2.89
Se 0.2379 0.2379 0.2864  1 Nd 2.82, 3 Er 2.85
Se 0.2306 0.7545 0.2604  3 Er 2.71-2.88, 1 Tb 2.92
Se 0.7545 0.2306 0.2604  3 Er 2.71-2.88, 1 Tb 2.92
Nd 0.3741 0.3741 0.8776  4 Se 2.81-2.82
Er 0.5027 0.9992 0.4989  6 Se 2.85-2.88
Er 0.9992 0.9992 0.4989  6 Se 2.85-2.88
Er 0.6255 0.6255 0.1235  4 Se 2.71-2.73
Er 0.9992 0.5027 0.4989  6 Se 2.85-2.88
Tb 0.9992 0.9992 0.0024  6 Se 2.89-2.92

Summary:
ΔE_f (raw) ... -1.702 eV per atom
Spin magnetization ... 0.00 μB/f.u.
DOS(E_F) ... 0.6307 states/eV/atom

Here is MnNb2Ag after structural relaxation from Alexandria. Energies are from PBE.

a = 4.5262 Å, b = 4.5262 Å, c = 4.5262 Å
α = 60.00°, β = 60.00°, γ = 60.00°
Closest atoms and distances in Å follow each position.
Atoms (fractional coordinates):
Mn 0.0000 0.0000 0.0000  8 Nb 2.77
Nb 0.7500 0.7500 0.7500  4 Mn 2.77, 4 Ag 2.77
Nb 0.2500 0.2500 0.2500  4 Mn 2.77, 4 Ag 2.77
Ag 0.5000 0.5000 0.5000  8 Nb 2.77

Summary:
Spin magnetization ... 0.00 μB/f.u.
Formation energy ... 367 meV/atom
DOS(E_F) ... 0.3382 states/eV/atom

Here is La5YSn4 after structural relaxation from Alexandria. Energies are from PBE.

a = 7.7679 Å, b = 10.1919 Å, c = 10.5701 Å
α = 90.00°, β = 90.00°, γ = 90.00°
Closest atoms and distances in Å follow each position.
Atoms (fractional coordinates):
La 0.2543 0.2557 0.7984  4 Sn 3.20-3.46
La 0.2075 0.0000 0.5000  4 Sn 3.16-3.18
La 0.7457 0.2443 0.2984  4 Sn 3.20-3.46
La 0.2543 0.7443 0.2016  4 Sn 3.20-3.46
La 0.7925 0.5000 0.0000  4 Sn 3.16-3.18
La 0.2543 0.7443 0.7984  4 Sn 3.20-3.46
La 0.7457 0.7557 0.2984  4 Sn 3.20-3.46
La 0.7457 0.2443 0.7016  4 Sn 3.20-3.46
La 0.2543 0.2557 0.2016  4 Sn 3.20-3.46
La 0.7457 0.7557 0.7016  4 Sn 3.20-3.46
Y 0.2104 0.5000 0.5000  4 Sn 3.04-3.05
Y 0.7896 0.0000 0.0000  4 Sn 3.04-3.05
Sn 0.9979 0.5000 0.7423  1 Y 3.05, 5 La 3.16-3.29
Sn 0.9979 0.5000 0.2577  1 Y 3.05, 5 La 3.16-3.29
Sn 0.0021 0.0000 0.2423  1 Y 3.05, 5 La 3.16-3.29
Sn 0.5617 0.2427 0.0000  1 Y 3.04, 3 La 3.18-3.20
Sn 0.0021 0.0000 0.7577  1 Y 3.05, 5 La 3.16-3.29
Sn 0.4383 0.7427 0.5000  1 Y 3.04, 3 La 3.18-3.20
Sn 0.4383 0.2573 0.5000  1 Y 3.04, 3 La 3.18-3.20
Sn 0.5617 0.7573 0.0000  1 Y 3.04, 3 La 3.18-3.20

Summary:
Spin magnetization ... 0.95 μB/f.u.
Formation energy ... -358 meV/atom
DOS(E_F) ... 0.8161 states/eV/atom

Here is PmY4Er15 after structural relaxation from Alexandria. Energies are from PBE.

a = 4.9913 Å, b = 4.9913 Å, c = 24.9528 Å
α = 90.00°, β = 90.00°, γ = 90.00°
Closest atoms and distances in Å follow each position.
Atoms (fractional coordinates):
Y 0.0000 0.0000 0.7997  12 Er 3.52-3.53
Y 0.0000 0.0000 0.4002  12 Er 3.53
Y 0.0000 0.0000 0.2003  12 Er 3.52-3.53
Y 0.0000 0.0000 0.5998  12 Er 3.53
Er 0.0000 0.5000 0.8994  2 Y 3.52, 8 Er 3.53-3.54, 2 Pm 3.54
Er 0.0000 0.5000 0.3002  8 Er 3.52-3.53, 4 Y 3.53
Er 0.5000 0.0000 0.5000  4 Y 3.53, 8 Er 3.53
Er 0.5000 0.5000 0.7993  8 Er 3.52-3.53, 4 Y 3.53
Er 0.5000 0.0000 0.6998  8 Er 3.52-3.53, 4 Y 3.53
Er 0.5000 0.0000 0.8994  2 Y 3.52, 8 Er 3.53-3.54, 2 Pm 3.54
Er 0.0000 0.5000 0.1006  2 Y 3.52, 8 Er 3.53-3.54, 2 Pm 3.54
Er 0.5000 0.5000 0.0000  4 Pm 3.53, 8 Er 3.54
Er 0.5000 0.0000 0.3002  8 Er 3.52-3.53, 4 Y 3.53
Er 0.0000 0.5000 0.6998  8 Er 3.52-3.53, 4 Y 3.53
Er 0.5000 0.5000 0.4001  8 Er 3.53, 4 Y 3.53
Er 0.5000 0.5000 0.2007  8 Er 3.52-3.53, 4 Y 3.53
Er 0.0000 0.5000 0.5000  4 Y 3.53, 8 Er 3.53
Er 0.5000 0.0000 0.1006  2 Y 3.52, 8 Er 3.53-3.54, 2 Pm 3.54
Er 0.5000 0.5000 0.5999  8 Er 3.53, 4 Y 3.53
Pm 0.0000 0.0000 0.0000  12 Er 3.53-3.54

Summary:
Spin magnetization ... 0.00 μB/f.u.
Formation energy ... 25 meV/atom
DOS(E_F) ... 1.3530 states/eV/atom

Here is Be3TlAs3 after structural relaxation from Alexandria. Energies are from PBE.

a = 6.2800 Å, b = 6.2800 Å, c = 9.0676 Å
α = 69.74°, β = 69.74°, γ = 60.00°
Closest atoms and distances in Å follow each position.
Atoms (fractional coordinates):
Be 0.5243 0.8562 0.4256  4 As 2.23-2.32, 3 Be 2.42-2.46
Be 0.4757 0.1438 0.5744  4 As 2.23-2.32, 3 Be 2.42-2.46
Be 0.8060 0.4757 0.5745  4 As 2.23-2.32, 3 Be 2.42-2.46
Be 0.1940 0.5243 0.4255  4 As 2.23-2.32, 3 Be 2.42-2.46
Be 0.8562 0.1940 0.4255  4 As 2.23-2.32, 3 Be 2.42-2.46
Be 0.1438 0.8060 0.5745  4 As 2.23-2.32, 3 Be 2.42-2.46
As 0.9004 0.5659 0.3057  4 Be 2.23-2.32
As 0.2280 0.9004 0.3057  4 Be 2.23-2.32
As 0.7720 0.0996 0.6943  4 Be 2.23-2.32
As 0.4341 0.7720 0.6943  4 Be 2.23-2.32
As 0.5659 0.2280 0.3057  4 Be 2.23-2.32
As 0.0996 0.4341 0.6943  4 Be 2.23-2.32
Tl 0.3345 0.3345 0.9965  6 As 3.28-3.31, 3 Tl 3.63
Tl 0.6655 0.6655 0.0035  6 As 3.28-3.31, 3 Tl 3.63

Summary:
Spin magnetization ... 0.00 μB/f.u.
Formation energy ... -23 meV/atom
DOS(E_F) ... 0.2316 states/eV/atom